Computed, not measured: a geometry-optimized NdCd structure at the PBE level of DFT.

The structure in CIF format:
```
data_NdCd
_cell_length_a 3.5156
_cell_length_b 3.5156
_cell_length_c 5.3363
_cell_angle_alpha 90.00
_cell_angle_beta 90.00
_cell_angle_gamma 120.00
_space_group_name_H-M_alt 'P -6 m 2'
_space_group_IT_number 187
_space_group_name_Hall 'P -6 2'
loop_
_atom_site_label
_atom_site_type_symbol
_atom_site_fract_x
_atom_site_fract_y
_atom_site_fract_z
_atom_site_occupancy
Nd1 Nd 0.0000 0.0000 0.0000 1
Cd1 Cd 0.3333 0.6667 0.5000 1
```

Total magnetic moment, μB/f.u.: 0.0
Calculated formation energy, eV/atom: -0.1111
Mass density, g cm⁻³: 7.5
Volume, Å³/f.u.: 57.12